An optimized crystal structure of YTcMo2O, computed with GGA+U.

```
YTcMo2O
1.0
4.388 0.000 0.000
0.000 4.388 0.000
0.000 0.000 4.318
Y Tc Mo O
1 1 2 1
direct
0.000 0.000 0.000 Y
0.500 0.500 0.000 Tc
0.000 0.500 0.500 Mo
0.500 0.000 0.500 Mo
0.500 0.500 0.500 O
```

## Properties
Total magnetization, Bohr magnetons per cell: 4.0
Raw total energy, eV/atom: -6.856
Crystal system: tetragonal